A plane-wave DFT calculation with PBE-GGA was carried out for an optimized crystal structure of LiNiTe4.

a b c (Å): 6.352 6.352 6.352
angles (deg): 60.00 60.00 60.00
Last column: magnetic moment on the atom in μB.
Fractional positions:
1 Li 0.750 0.750 0.750  0.00
2 Ni 0.000 0.000 0.000  0.86
3 Te 0.878 0.374 0.374  0.04
4 Te 0.374 0.374 0.878  0.04
5 Te 0.374 0.878 0.374  0.04
6 Te 0.374 0.374 0.374  0.04

***

A plane-wave DFT calculation with PBE-GGA was carried out for an optimized crystal structure of LiNiTe3.

Values from the calculation:
Offset from the most stable computed form: 0.000 eV/f.u.

a b c (Å): 5.116 5.116 5.116
angles (deg): 90.00 90.00 90.00
Fractional positions:
1 Ni 0.000 0.000 0.000
2 Te 0.000 0.500 0.000
3 Te 0.000 0.000 0.500
4 Te 0.500 0.000 0.000
5 Li 0.500 0.500 0.500

***

Raw formation energy per entry: 0.59; 0.03 eV per atom
Raw total energy per entry: -2.79; -3.39 eV per atom
Magnetization per entry: 1.2; 0.0 μB per cell